# 1
The following is a GGA-PBE calculation of a relaxed structure of Tm5Ga2Pb, from Alexandria via LeMat-Bulk.

Results
Energy relative to the elements ... -513 meV/atom
Magnetization ... 0.0 Bohr magnetons per cell
Volume ... 206.3 Å³/f.u.
E ... -4.528 eV/atom

Unit cell a=7.805 b=7.805 c=13.547 alpha=90.00 beta=90.00 gamma=90.00
Space group I4/mcm (No. 140)
Unique sites:
Tm 0.000 0.000 0.000 [4 per cell]
Tm 0.158 0.342 0.143 [16 per cell]
Ga 0.135 0.365 0.500 [8 per cell]
Pb 0.000 0.000 0.250 [4 per cell]


# 2
The following is a GGA-PBE calculation of a relaxed structure of TmGa2Pb, from Alexandria via LeMat-Bulk.

Results
Energy relative to the elements ... 248 meV/atom
Magnetization ... 0.0 Bohr magnetons per cell
Volume ... 130.6 Å³/f.u.
E ... -3.310 eV/atom

Unit cell a=4.9090 b=4.9090 c=18.7761 alpha=90.00 beta=90.00 gamma=120.00
Space group R-3m (No. 166, hexagonal axes)
Unique sites:
Tm 0.0000 0.0000 0.0000 [3 per cell]
Ga 0.0000 0.0000 0.3532 [6 per cell]
Pb 0.0000 0.0000 0.5000 [3 per cell]


# 3
The following is a GGA-PBE calculation of a relaxed structure of Tm3Ga2Pb, from Alexandria via LeMat-Bulk.

Results
Energy relative to the elements ... -440 meV/atom
Magnetization ... 0.0 Bohr magnetons per cell
Volume ... 146.3 Å³/f.u.
E ... -4.302 eV/atom

Unit cell a=3.976 b=15.883 c=4.634 alpha=90.00 beta=90.00 gamma=90.00
Space group Cmmm (No. 65)
Unique sites:
Tm 0.000 0.000 0.000 [2 per cell]
Tm 0.000 0.167 0.500 [4 per cell]
Ga 0.000 0.310 0.000 [4 per cell]
Pb 0.000 0.500 0.500 [2 per cell]


# 4
The following is a GGA-PBE calculation of a relaxed structure of UGa2Pb, from Alexandria via LeMat-Bulk.

Results
Energy relative to the elements ... 120 meV/atom
Magnetization ... 5.5 Bohr magnetons per cell
Volume ... 91.3 Å³/f.u.
E ... -5.143 eV/atom

Unit cell a=3.1111 b=3.1111 c=32.6910 alpha=90.00 beta=90.00 gamma=120.00
Space group R-3m (No. 166, hexagonal axes)
Unique sites:
U 0.0000 0.0000 0.0000 [3 per cell]
Ga 0.0000 0.0000 0.4103 [6 per cell]
Pb 0.0000 0.0000 0.5000 [3 per cell]


# 5
The following is a GGA-PBE calculation of a relaxed structure of UGa4Pb, from Alexandria via LeMat-Bulk.

Results
Energy relative to the elements ... 74 meV/atom
Magnetization ... 12.9 Bohr magnetons per cell
Volume ... 125.3 Å³/f.u.
E ... -4.443 eV/atom

Unit cell a=7.944 b=7.944 c=7.944 alpha=90.00 beta=90.00 gamma=90.00
Space group F-43m (No. 216)
Unique sites:
U 0.000 0.000 0.000 [4 per cell]
Ga 0.125 0.125 0.625 [16 per cell]
Pb 0.250 0.250 0.250 [4 per cell]


# 6
The following is a GGA-PBE calculation of a relaxed structure of UGaPb2, from Alexandria via LeMat-Bulk.

Results
Energy relative to the elements ... 76 meV/atom
Magnetization ... 2.6 Bohr magnetons per cell
Volume ... 101.0 Å³/f.u.
E ... -5.357 eV/atom

Unit cell a=4.606 b=4.606 c=4.759 alpha=90.00 beta=90.00 gamma=90.00
Space group P4/mmm (No. 123)
Unique sites:
U 0.000 0.000 0.000 [1 per cell]
Ga 0.500 0.500 0.000 [1 per cell]
Pb 0.000 0.500 0.500 [2 per cell]